Density functional theory data (GGA-PBE) for a relaxed Ac8Cd2In crystal.

Lattice parameters (Å, degrees): 5.9572 9.4019 9.4196 118.51 108.43 90.00
Positions (direct):
Ac  0.3181  0.0412  0.6362
Cd  0.2260  0.6170  0.4519
Ac  0.6819  0.9588  0.3638
Ac  0.9312  0.2769  0.8624
Cd  0.7740  0.3830  0.5481
Ac  0.0688  0.7231  0.1376
In  0.5000  0.0000  0.0000
Ac  0.4036  0.5485  0.8073
Ac  0.1375  0.1943  0.2751
Ac  0.8625  0.8057  0.7249
Ac  0.5964  0.4515  0.1927

As for the space-group type: C2/m (12). The value obtained for the energy relative to the lowest polymorph listed for this composition is 0.00 kJ/mol of atoms. As for the energy of formation: -0.150 eV per atom. The density comes out at 8.275 g cm⁻³. As for the density of states at the Fermi level: 11.1 states/eV/cell.